Entry 1:
Compound: TmScSnRh
Source: Alexandria
Functional: PBE
Structure: relaxed

- Theoretical density: 8.562 Mg/m³
- V: 84.5 Å³/cell
- Formation energy from the elements: -677.0 meV per atom
- Symmetry: F-43m (216)

Lattice parameters (Å, degrees): 4.9249 4.9249 4.9249 60.00 60.00 60.00
Last column: nearest neighbours and their distance in Å.
Fractional positions:
Sc (0.5000, 0.5000, 0.5000)  4 Rh 3.02, 4 Sn 3.02
Sn (0.2500, 0.2500, 0.2500)  4 Tm 3.02, 4 Sc 3.02
Rh (0.7500, 0.7500, 0.7500)  4 Tm 3.02, 4 Sc 3.02
Tm (0.0000, 0.0000, 0.0000)  4 Sn 3.02, 4 Rh 3.02


Entry 2:
Compound: Ba2BeSiPt6
Source: Alexandria
Functional: PBE
Structure: relaxed

- Theoretical density: 12.010 Mg/m³
- V: 204.9 Å³/cell
- Formation energy from raw total energies: -0.722 eV/atom
- Symmetry: C2/m (12)

Lattice parameters (Å, degrees): 6.6624 6.5790 6.5811 60.70 59.58 89.92
Last column: nearest neighbours and their distance in Å.
Fractional positions:
Ba (0.7964, 0.2036, 0.4071)  1 Be 3.26, 12 Pt 3.26-3.60
Ba (0.2036, 0.7964, 0.5929)  1 Be 3.26, 12 Pt 3.26-3.60
Be (0.0000, 0.0000, 0.0000)  6 Pt 2.37-2.38
Pt (0.6579, 0.7571, 0.0986)  1 Be 2.38, 1 Si 2.48
Pt (0.7572, 0.2434, 0.9009)  1 Be 2.38, 1 Si 2.48
Pt (0.7571, 0.6584, 0.4852)  1 Be 2.37, 1 Si 2.48
Pt (0.3421, 0.2429, 0.9014)  1 Be 2.38, 1 Si 2.48
Pt (0.2428, 0.7566, 0.0991)  1 Be 2.38, 1 Si 2.48
Pt (0.2429, 0.3416, 0.5148)  1 Be 2.37, 1 Si 2.48
Si (0.5000, 0.5000, 0.0000)  6 Pt 2.48


Entry 3:
Compound: KTa2Mn2
Source: Alexandria
Functional: PBE
Structure: relaxed

- Theoretical density: 8.997 Mg/m³
- V: 188.6 Å³/cell
- Formation energy from the elements: 718.5 meV per atom
- Offset from the most stable computed form: 0.00 kcal/mol of atoms
- Symmetry: P4/mbm (127)

Lattice parameters (Å, degrees): 8.0497 8.0497 2.9101 90.00 90.00 90.00
Last column: nearest neighbours and their distance in Å.
Fractional positions:
Ta (0.3662, 0.8662, 0.0000)  4 Mn 2.58
Ta (0.8662, 0.6338, 0.0000)  4 Mn 2.58
Ta (0.1338, 0.3662, 0.0000)  4 Mn 2.58
Ta (0.6338, 0.1338, 0.0000)  4 Mn 2.58
Mn (0.1306, 0.6306, 0.5000)  4 Ta 2.58
Mn (0.3694, 0.1306, 0.5000)  4 Ta 2.58
Mn (0.6306, 0.8694, 0.5000)  4 Ta 2.58
Mn (0.8694, 0.3694, 0.5000)  4 Ta 2.58
K (0.0000, 0.0000, 0.0000)  2 K 2.91, 4 Ta 3.14
K (0.5000, 0.5000, 0.0000)  2 K 2.91, 4 Ta 3.14


Entry 4:
Compound: Ta3AlS
Source: Alexandria
Functional: PBE
Structure: relaxed

- Theoretical density: 10.635 Mg/m³
- V: 94.0 Å³/cell
- Formation energy from raw total energies: 0.309 eV/atom
- Offset from the most stable computed form: 0.00 kcal/mol of atoms
- Symmetry: Pm-3m (221)

Lattice parameters (Å, degrees): 4.5465 4.5465 4.5465 90.00 90.00 90.00
Last column: nearest neighbours and their distance in Å.
Fractional positions:
Ta (0.5000, 0.0000, 0.0000)  2 S 2.27
Ta (0.0000, 0.5000, 0.0000)  2 S 2.27
Ta (0.0000, 0.0000, 0.5000)  2 S 2.27
Al (0.5000, 0.5000, 0.5000)  12 Ta 3.21
S (0.0000, 0.0000, 0.0000)  6 Ta 2.27


Entry 5:
Compound: Ta2InCo
Source: Alexandria
Functional: PBE
Structure: relaxed

- Theoretical density: 12.140 Mg/m³
- V: 146.5 Å³/cell
- Formation energy from the elements: 405.7 meV per atom
- Symmetry: I-42d (122)

Lattice parameters (Å, degrees): 7.3512 7.3512 5.8628 51.18 51.18 90.00
Last column: nearest neighbours and their distance in Å.
Fractional positions:
In (0.7500, 0.2500, 0.5000)  2 Co 2.71, 4 Ta 3.00
In (0.0000, 0.0000, 0.0000)  2 Co 2.71, 4 Ta 3.00
Ta (0.5653, 0.1250, 0.2500)  2 Co 2.41
Ta (0.3750, 0.4347, 0.7500)  2 Co 2.41
Ta (0.8750, 0.8153, 0.7500)  2 Co 2.41
Ta (0.1847, 0.6250, 0.2500)  2 Co 2.41
Co (0.5000, 0.5000, 0.0000)  4 Ta 2.41
Co (0.2500, 0.7500, 0.5000)  4 Ta 2.41


Entry 6:
Compound: Mg2TiVSn
Source: Alexandria
Functional: PBE
Structure: relaxed

- Theoretical density: 3.587 Mg/m³
- V: 123.2 Å³/cell
- Formation energy from the elements: 918.1 meV per atom
- Symmetry: P4/mmm (123)

Lattice parameters (Å, degrees): 4.9528 5.0217 4.9528 90.00 90.00 90.00
Last column: nearest neighbours and their distance in Å.
Fractional positions:
Ti (0.5000, 0.5000, 0.5000)  4 Sn 3.50, 8 Mg 3.53
Sn (0.0000, 0.5000, 0.0000)  2 V 2.51
Mg (0.5000, 0.0000, 0.0000)  2 V 2.48
Mg (0.0000, 0.0000, 0.5000)  2 V 2.48
V (0.0000, 0.0000, 0.0000)  4 Mg 2.48, 2 Sn 2.51


Which formula does entry 1 have? TmScSnRh